Hf2ScTl | PBE | relaxed

extended XYZ file:
```
4
Lattice="-2.678 -0.127 1.599 -0.877 -2.666 1.367 4.288 2.094 10.394" Properties=species:S:1:pos:R:3 pbc="T T T"
Sc 0.000 0.000 0.000
Tl 0.367 -0.349 6.680
Hf -2.095 -1.986 5.475
Hf 2.829 1.287 7.886
```

Computed properties:
raw total energy = -27.2 eV/cell
energy of formation = 356 meV per atom
relative energy among the computed polymorphs = 0.452 eV/atom



Hf2ScTl | PBE | relaxed

extended XYZ file:
```
4
Lattice="4.547 0.000 0.000 0.000 4.413 0.000 0.000 0.000 4.413" Properties=species:S:1:pos:R:3 pbc="T T T"
Sc 2.273 2.206 2.206
Hf 0.000 0.000 2.206
Hf 0.000 2.206 0.000
Tl 2.273 0.000 0.000
```

Computed properties:
raw total energy = -28.6 eV/cell
energy of formation = -10 meV per atom
relative energy among the computed polymorphs = 0.086 eV/atom



HfSc12Tl3 | PBE | relaxed

extended XYZ file:
```
16
Lattice="4.522 0.000 0.000 0.000 4.522 0.000 0.000 0.000 18.267" Properties=species:S:1:pos:R:3 pbc="T T T"
Sc 0.000 2.261 2.255
Sc 2.261 2.261 9.133
Sc 2.261 0.000 6.859
Sc 0.000 2.261 6.859
Sc 2.261 0.000 16.012
Sc 2.261 0.000 2.255
Sc 2.261 2.261 4.617
Sc 2.261 2.261 13.649
Sc 0.000 2.261 16.012
Sc 0.000 2.261 11.408
Sc 2.261 2.261 0.000
Sc 2.261 0.000 11.408
Tl 0.000 0.000 9.133
Tl 0.000 0.000 13.666
Tl 0.000 0.000 4.601
Hf 0.000 0.000 0.000
```

Computed properties:
raw total energy = -95.3 eV/cell
energy of formation = -141 meV per atom



HfScTl2 | PBE | relaxed

extended XYZ file:
```
4
Lattice="4.272 0.000 0.000 0.000 4.621 0.000 0.000 0.000 4.621" Properties=species:S:1:pos:R:3 pbc="T T T"
Hf 2.136 2.311 2.311
Sc 2.136 0.000 0.000
Tl 0.000 2.311 0.000
Tl 0.000 0.000 2.311
```

Computed properties:
raw total energy = -21.1 eV/cell
energy of formation = -24 meV per atom
relative energy among the computed polymorphs = 0.041 eV/atom



HfScTl2 | PBE | relaxed

extended XYZ file:
```
8
Lattice="7.944 0.000 0.000 0.000 7.944 0.000 3.972 3.972 3.172" Properties=species:S:1:pos:R:3 pbc="T T T"
Tl 5.954 1.986 0.793
Tl 5.958 5.962 2.379
Tl 1.990 5.958 0.793
Tl 9.930 9.926 2.379
Hf 0.000 0.000 0.000
Hf 7.944 3.972 1.586
Sc 3.972 3.972 0.000
Sc 3.972 7.944 1.586
```

Computed properties:
raw total energy = -40.1 eV/cell
energy of formation = 237 meV per atom
relative energy among the computed polymorphs = 0.302 eV/atom



HfScTl2 | PBE | relaxed

extended XYZ file:
```
4
Lattice="0.000 3.587 3.587 3.587 0.000 3.587 3.587 3.587 0.000" Properties=species:S:1:pos:R:3 pbc="T T T"
Tl 5.381 5.381 5.381
Tl 1.794 1.794 1.794
Sc 0.000 0.000 0.000
Hf 3.587 3.587 3.587
```

Computed properties:
raw total energy = -20.9 eV/cell
energy of formation = 36 meV per atom
relative energy among the computed polymorphs = 0.101 eV/atom



raw total energy of number 3 (HfSc12Tl3)?
-95.3 eV/cell



Number 1 is which compound?
Hf2ScTl



What is the formula in the sixth record?
HfScTl2



Which of these has the lowest raw total energy?
HfSc12Tl3